4
Lattice="0.0000 3.7318 3.7318 3.7318 0.0000 3.7318 3.7318 3.7318 0.0000" Properties=species:S:1:pos:R:3 comment="PBE PmErAlSn, relaxed" ef_mev_per_atom=-434 magmom_total_mub_per_cell=0.000 pbc="T T T"
Pm 0.0000 0.0000 0.0000
Er 3.7318 3.7318 3.7318
Al 5.5977 5.5977 5.5977
Sn 1.8659 1.8659 1.8659